Model P:
VASP calculation (PBE) on an optimized crystal structure of YTlGa3.

Geometry as POSCAR:
```
YTlGa3
1.0
5.249 0.000 0.000
0.000 5.249 0.000
0.000 0.000 5.249
Y Tl Ga
1 1 3
direct
0.000 0.000 0.000
0.500 0.500 0.500
0.000 0.500 0.500
0.500 0.000 0.500
0.500 0.500 0.000
```

Summary:
The calculation puts the calculated density at 5.8 g/cm3. The density of states at the Fermi level is 3.0 states/eV/cell. Its space group is Pm-3m.

---

Model Q:
VASP calculation (PBE) on an optimized crystal structure of YTlGa3.

Geometry as POSCAR:
```
YTlGa3
1.0
5.576 0.000 0.000
0.000 5.576 0.000
0.000 0.000 5.576
Y Tl Ga
1 1 3
direct
0.000 0.000 0.000
0.500 0.500 0.500
0.000 0.000 0.500
0.000 0.500 0.000
0.500 0.000 0.000
```

Summary:
The calculation puts the calculated density at 4.8 g/cm3. The density of states at the Fermi level is 5.4 states/eV/cell. Its space group is Pm-3m.

---

The most stable of them is model P.

---

Model P:
VASP calculation (PBE) on an optimized crystal structure of Y4Tl2Ga.

Geometry as POSCAR:
```
Y4Tl2Ga
1.0
-2.701 2.701 7.643
2.701 -2.701 7.643
2.701 2.701 -7.643
Y Tl Ga
4 2 1
direct
0.000 0.500 0.500
0.184 0.184 0.000
0.500 0.000 0.500
0.816 0.816 0.000
0.381 0.381 0.000
0.619 0.619 0.000
0.000 0.000 0.000
```

Summary:
The calculation puts the calculated density at 6.2 g/cm3. The density of states at the Fermi level is 5.9 states/eV/cell. Its space group is I4/mmm.

---

Model Q:
VASP calculation (PBE) on an optimized crystal structure of Y4Tl2Ga.

Geometry as POSCAR:
```
Y4Tl2Ga
1.0
2.611 1.507 8.554
-2.611 1.507 8.554
0.000 -3.015 8.554
Y Tl Ga
4 2 1
direct
0.123 0.123 0.123
0.374 0.374 0.374
0.626 0.626 0.626
0.877 0.877 0.877
0.245 0.245 0.245
0.755 0.755 0.755
0.000 0.000 0.000
```

Summary:
The calculation puts the calculated density at 6.9 g/cm3. The density of states at the Fermi level is 8.0 states/eV/cell. Its space group is R-3m.

---

The most stable of them is model Q.

---

Model P:
VASP calculation (PBE) on an optimized crystal structure of Y6TlGa2.

Geometry as POSCAR:
```
Y6TlGa2
1.0
6.486 0.000 0.000
0.000 8.290 0.000
-5.441 0.000 9.562
Y Tl Ga
12 2 4
direct
0.061 0.048 0.217
0.061 0.452 0.717
0.167 0.696 0.067
0.167 0.804 0.567
0.417 0.150 0.065
0.417 0.350 0.565
0.583 0.650 0.435
0.583 0.850 0.935
0.833 0.196 0.433
0.833 0.304 0.933
0.939 0.548 0.283
0.939 0.952 0.783
0.500 0.000 0.500
0.500 0.500 0.000
0.308 0.129 0.744
0.308 0.371 0.244
0.692 0.629 0.756
0.692 0.871 0.256
```

Summary:
The calculation puts the calculated density at 5.7 g/cm3. The density of states at the Fermi level is 20.6 states/eV/cell. Its space group is P2_1/c.

---

Model Q:
VASP calculation (PBE) on an optimized crystal structure of Y6TlGa2.

Geometry as POSCAR:
```
Y6TlGa2
1.0
-4.847 4.866 5.316
4.847 -4.866 5.316
4.847 4.866 -5.316
Y Tl Ga
12 2 4
direct
0.039 0.240 0.798
0.183 0.278 0.461
0.183 0.722 0.905
0.321 0.022 0.701
0.321 0.620 0.299
0.442 0.240 0.202
0.558 0.760 0.798
0.679 0.380 0.701
0.679 0.978 0.299
0.817 0.278 0.095
0.817 0.722 0.539
0.961 0.760 0.202
0.000 0.000 0.000
0.500 0.500 0.000
0.120 0.620 0.500
0.353 0.000 0.353
0.647 0.000 0.647
0.880 0.380 0.500
```

Summary:
The calculation puts the calculated density at 5.8 g/cm3. The density of states at the Fermi level is 11.9 states/eV/cell. Its space group is Immm.

---

The most stable of them is model Q.

---

Model P:
VASP calculation (PBE) on an optimized crystal structure of YTlGa.

Geometry as POSCAR:
```
YTlGa
1.0
-1.769 1.769 5.901
1.769 -1.769 5.901
1.769 1.769 -5.901
Y Tl Ga
1 1 1
direct
0.000 0.000 0.000
0.306 0.306 0.000
0.655 0.655 0.000
```

Summary:
The calculation puts the calculated density at 8.2 g/cm3. The density of states at the Fermi level is 3.2 states/eV/cell. Its space group is I4mm.

---

Model Q:
VASP calculation (PBE) on an optimized crystal structure of YTlGa.

Geometry as POSCAR:
```
YTlGa
1.0
4.621 0.000 0.000
-2.310 4.002 0.000
0.000 0.000 3.974
Y Tl Ga
1 1 1
direct
0.000 0.000 0.000
0.667 0.333 0.421
0.333 0.667 0.640
```

Summary:
The calculation puts the calculated density at 8.2 g/cm3. The density of states at the Fermi level is 1.0 states/eV/cell. Its space group is P3m1.

---

The most stable of them is model Q.